The following is a PBE calculation of a relaxed KNa2Sn8 crystal, from Alexandria. Values from VASP.

Cell and atoms, written as Quantum ESPRESSO input:
```
&SYSTEM
  ibrav = 0, nat = 11, ntyp = 3
/
ATOMIC_SPECIES
K 39.10 K.upf
Na 22.99 Na.upf
Sn 118.71 Sn.upf
CELL_PARAMETERS angstrom
3.832 -8.033 0.000
3.832 8.033 0.000
-3.827 0.000 5.915
ATOMIC_POSITIONS crystal
K 0.000 0.000 0.000
Na 0.152 0.848 0.500
Na 0.848 0.152 0.500
Sn 0.222 0.778 0.000
Sn 0.277 0.584 0.262
Sn 0.367 0.367 0.753
Sn 0.416 0.723 0.738
Sn 0.584 0.277 0.262
Sn 0.633 0.633 0.247
Sn 0.723 0.416 0.738
Sn 0.778 0.222 0.000
```

Computed properties:
formation energy from the elements	-0.1047	eV per atom
V	33.102	Å³ per atom
total magnetic moment	0.0000	μB per atom